[1]
PBE CsNa2SnBr8, relaxed; E_form (uncorrected) = -1026 meV/atom; calculated density = 3536 kg/m³
1.0
6.1980 0.0000 0.0000
-0.3115 7.0486 0.0000
-0.0363 -0.0115 10.0697
Cs Na Sn Br
1 2 1 8
Direct
0.0000 0.0000 0.0000
0.4990 0.5001 0.7223
0.5010 0.4999 0.2777
0.0000 0.0000 0.5000
0.2331 0.8515 0.3092
0.2354 0.8537 0.6915
0.2439 0.3217 0.4993
0.2539 0.4960 0.0000
0.7461 0.5040 0.0000
0.7561 0.6783 0.5007
0.7646 0.1463 0.3085
0.7669 0.1485 0.6908

***

[2]
PBE SmZrPa2N4, relaxed; E_form (uncorrected) = -1600 meV/atom; calculated density = 10739 kg/m³
1.0
5.9730 0.0000 0.0000
0.0000 3.4710 0.0000
-2.0093 0.0000 5.6659
Sm Zr Pa N
1 1 2 4
Direct
0.0000 0.0000 0.0000
0.0000 0.5000 0.5000
0.5000 0.0000 0.5000
0.5000 0.5000 0.0000
0.2498 0.0000 0.7376
0.2597 0.5000 0.2679
0.7403 0.5000 0.7321
0.7502 0.0000 0.2624

***

> Number 1 is which compound?

CsNa2SnBr8

***

Copy entry 1 word for word.
PBE CsNa2SnBr8, relaxed; E_form (uncorrected) = -1026 meV/atom; calculated density = 3536 kg/m³
1.0
6.1980 0.0000 0.0000
-0.3115 7.0486 0.0000
-0.0363 -0.0115 10.0697
Cs Na Sn Br
1 2 1 8
Direct
0.0000 0.0000 0.0000
0.4990 0.5001 0.7223
0.5010 0.4999 0.2777
0.0000 0.0000 0.5000
0.2331 0.8515 0.3092
0.2354 0.8537 0.6915
0.2439 0.3217 0.4993
0.2539 0.4960 0.0000
0.7461 0.5040 0.0000
0.7561 0.6783 0.5007
0.7646 0.1463 0.3085
0.7669 0.1485 0.6908

***

> Which of these has the highest calculated density?

SmZrPa2N4

***

> The lowest calculated density belongs to which entry?

CsNa2SnBr8